Here is a relaxed TeAsH2 crystal from the Alexandria database. Energies are from PBE.

V: 23.882 A^3/atom
N(E_F): 1.0 states/eV/cell

Cell: 3.0486 4.4460 7.2787 Å, 77.46 82.88 89.94°
Closest atoms and distances in Å follow each position.
Space group P1 (No. 1)
One atom of each set of equivalent atoms:
1 Te 0.0000 0.0000 0.0000  2 As 2.69
2 As 0.9395 0.4242 0.2149  2 Te 2.69
3 H 0.5090 0.7078 0.6586  1 H 0.75
4 H 0.6158 0.6424 0.5775  1 H 0.75

Here is a relaxed TeAsH crystal from the Alexandria database. Energies are from PBE.

V: 27.533 A^3/atom

Cell: 3.9722 5.6268 7.7986 Å, 82.05 88.77 73.16°
Closest atoms and distances in Å follow each position.
Space group P1 (No. 1)
One atom of each set of equivalent atoms:
1 Te 0.0000 0.0000 0.0000  2 As 2.62-2.64, 1 H 2.83
2 Te 0.0928 0.5997 0.5691  2 H 1.70-1.71
3 As 0.1735 0.1614 0.2775  2 As 2.53-2.58, 1 Te 2.64
4 As 0.5931 0.3928 0.1236  2 As 2.53-2.58, 1 Te 2.62
5 H 0.1191 0.3559 0.7301  1 Te 1.71
6 H 0.4549 0.6486 0.6518  1 Te 1.70

Here is a relaxed TeAsH crystal from the Alexandria database. Energies are from PBE.

V: 25.673 A^3/atom
N(E_F): 0.1 states/eV/cell

Cell: 9.4052 5.8326 5.6190 Å, 90.00 91.90 90.00°
Closest atoms and distances in Å follow each position.
Space group P2_1/c (No. 14)
One atom of each set of equivalent atoms:
1 Te 0.1841 0.0195 0.4502  1 H 1.72
2 As 0.4344 0.6860 0.9944  1 As 2.50, 1 Te 2.65
3 H 0.1377 0.6844 0.7408  1 Te 1.72

Here is a relaxed TeAsH2 crystal from the Alexandria database. Energies are from PBE.

V: 12.873 A^3/atom
N(E_F): 5.5 states/eV/cell

Cell: 5.9057 5.9057 5.9057 Å, 90.00 90.00 90.00°
Closest atoms and distances in Å follow each position.
Space group Fm-3m (No. 225)
One atom of each set of equivalent atoms:
1 Te 0.0000 0.0000 0.0000  8 H 2.56
2 As 0.0000 0.0000 0.5000  8 H 2.56
3 H 0.2500 0.2500 0.2500  4 As 2.56, 4 Te 2.56

| no. | ΔE to the lowest computed polymorph (eV per formula unit) |
| --- | --- |
| 1 | 0.000 |
| 2 | 0.219 |
| 3 | 0.123 |
| 4 | 2.865 |